Li7In6 | PBE | optimized geometry

abc: 9.841 9.841 9.841
angles: 34.37 34.37 34.37
Atoms (fractional coordinates):
Li 0.000 0.000 0.000
Li 0.091 0.091 0.576
Li 0.091 0.576 0.091
Li 0.424 0.909 0.909
Li 0.576 0.091 0.091
Li 0.909 0.424 0.909
Li 0.909 0.909 0.424
In 0.165 0.165 0.165
In 0.343 0.343 0.343
In 0.450 0.450 0.450
In 0.550 0.550 0.550
In 0.657 0.657 0.657
In 0.835 0.835 0.835

Values from the calculation:
* N(E_F): 0.481 states/eV per atom
* symmetry: R-3m (166)
* electronic total energy: -2.445 eV per atom



LiIn2 | PBE | optimized geometry

abc: 7.434 7.434 7.434
angles: 60.00 60.00 60.00
Atoms (fractional coordinates):
Li 0.000 0.000 0.000
Li 0.000 0.000 0.500
Li 0.000 0.500 0.000
Li 0.500 0.000 0.000
In 0.270 0.270 0.270
In 0.270 0.270 0.689
In 0.270 0.689 0.270
In 0.311 0.730 0.730
In 0.689 0.270 0.270
In 0.730 0.311 0.730
In 0.730 0.730 0.311
In 0.730 0.730 0.730

Values from the calculation:
* N(E_F): 0.271 states/eV per atom
* symmetry: Fd-3m (227)
* electronic total energy: -2.505 eV per atom



Li23In6 | PBE | optimized geometry

abc: 9.181 9.181 9.181
angles: 60.00 60.00 60.00
Atoms (fractional coordinates):
Li 0.000 0.000 0.000
Li 0.000 0.000 0.500
Li 0.000 0.500 0.000
Li 0.000 0.500 0.500
Li 0.146 0.146 0.146
Li 0.146 0.146 0.561
Li 0.146 0.561 0.146
Li 0.173 0.609 0.609
Li 0.391 0.391 0.391
Li 0.391 0.391 0.827
Li 0.391 0.827 0.391
Li 0.439 0.854 0.854
Li 0.500 0.000 0.000
Li 0.500 0.000 0.500
Li 0.500 0.500 0.000
Li 0.561 0.146 0.146
Li 0.609 0.173 0.609
Li 0.609 0.609 0.173
Li 0.609 0.609 0.609
Li 0.827 0.391 0.391
Li 0.854 0.439 0.854
Li 0.854 0.854 0.439
Li 0.854 0.854 0.854
In 0.227 0.227 0.773
In 0.227 0.773 0.227
In 0.227 0.773 0.773
In 0.773 0.227 0.227
In 0.773 0.227 0.773
In 0.773 0.773 0.227

Values from the calculation:
* N(E_F): 0.289 states/eV per atom
* symmetry: Fm-3m (225)
* electronic total energy: -2.237 eV per atom



Li5In | PBE | optimized geometry

abc: 5.142 5.142 4.905
angles: 90.00 90.00 120.00
Atoms (fractional coordinates):
Li 0.000 0.681 0.000
Li 0.319 0.319 0.000
Li 0.333 0.667 0.500
Li 0.667 0.333 0.500
Li 0.681 0.000 0.000
In 0.000 0.000 0.500

Values from the calculation:
* N(E_F): 0.193 states/eV per atom
* symmetry: P-62m (189)
* electronic total energy: -2.226 eV per atom



Among the records above, which one has the highest N(E_F)? Li7In6